A plane-wave DFT calculation with PBE-GGA was carried out for a relaxed structure of Pa2I8Cl.

```
data_Pa2I8Cl
_symmetry_space_group_name_H-M 'C 1 2/m 1'
_symmetry_Int_Tables_number 12
_cell_length_a 10.1397
_cell_length_b 14.0349
_cell_length_c 9.0380
_cell_angle_alpha 90.00
_cell_angle_beta 93.54
_cell_angle_gamma 90.00
loop_
_symmetry_equiv_pos_as_xyz
'x,y,z'
'-x,-y,-z'
'-x,y,-z'
'x,-y,z'
'x+1/2,y+1/2,z'
'-x+1/2,-y+1/2,-z'
'-x+1/2,y+1/2,-z'
'x+1/2,-y+1/2,z'
loop_
_atom_site_label
_atom_site_type_symbol
_atom_site_fract_x
_atom_site_fract_y
_atom_site_fract_z
Pa1 Pa 0.1047 0.0000 0.2850
I1 I 0.0914 0.2070 0.2780
I2 I 0.1210 0.5000 0.7873
I3 I 0.1864 0.0000 0.6171
Cl1 Cl 0.0000 0.0000 0.0000
```

Output
**Offset from the most stable computed form**: 0 meV/atom
**Uncorrected energy**: -4.043 eV/atom